5
Lattice="-3.522 2.905 2.453 -3.648 -1.640 -3.296 -1.000 -3.701 2.948" Properties=species:S:1:pos:R:3 comment="PBE V2ZnCdGe, relaxed" formation_energy_ev_per_atom=1.48 space_group="No. 123" polymorph_energy_ev_per_atom=0.085 pbc="T T T"
Ge -0.500 -1.851 1.474
V -1.824 -0.820 -1.648
V -1.761 1.453 1.226
Zn -4.085 -1.218 1.053
Cd 0.000 0.000 0.000